1.
Here is PrHo6Se8 after structural relaxation from Alexandria. Energies are from PBE.

```
PrHo6Se8
1.0
0.000 5.734 5.734
5.734 0.000 5.734
5.734 5.734 0.000
Pr Ho Se
1 6 8
Direct
0.000 0.000 0.000 Pr
0.000 0.000 0.500 Ho
0.000 0.500 0.000 Ho
0.000 0.500 0.500 Ho
0.500 0.000 0.000 Ho
0.500 0.000 0.500 Ho
0.500 0.500 0.000 Ho
0.250 0.250 0.250 Se
0.262 0.262 0.738 Se
0.262 0.738 0.262 Se
0.262 0.738 0.738 Se
0.738 0.262 0.262 Se
0.738 0.262 0.738 Se
0.738 0.738 0.262 Se
0.750 0.750 0.750 Se
```

## Properties
Volume: 377 Å³/cell
Space group: Fm-3m
Energy relative to the elements, uncorrected: -1807 meV per atom
DOS(E_F): 5.82 states/eV per cell
Energy relative to the lowest polymorph listed for this composition: 0.0 meV/atom


2.
Here is Pr3HoSe4 after structural relaxation from Alexandria. Energies are from PBE.

```
Pr3HoSe4
1.0
7.375 0.000 0.000
0.000 8.358 0.000
-2.394 0.000 6.874
Pr Ho Se
6 2 8
Direct
0.000 0.122 0.250 Pr
0.000 0.373 0.750 Pr
0.000 0.627 0.250 Pr
0.000 0.878 0.750 Pr
0.500 0.123 0.750 Pr
0.500 0.877 0.250 Pr
0.500 0.373 0.250 Ho
0.500 0.627 0.750 Ho
0.257 0.133 0.007 Se
0.257 0.867 0.507 Se
0.263 0.382 0.499 Se
0.263 0.618 0.999 Se
0.737 0.382 0.001 Se
0.737 0.618 0.501 Se
0.743 0.133 0.493 Se
0.743 0.867 0.993 Se
```

## Properties
Volume: 424 Å³/cell
Space group: P2/c
Energy relative to the elements, uncorrected: -1813 meV per atom
DOS(E_F): 7.61 states/eV per cell
Energy relative to the lowest polymorph listed for this composition: 0.0 meV/atom


3.
Here is Pr2HoSe3 after structural relaxation from Alexandria. Energies are from PBE.

```
Pr2HoSe3
1.0
-1.955 2.620 8.140
1.955 -2.620 8.140
1.955 2.620 -8.140
Pr Ho Se
2 1 3
Direct
0.146 0.146 0.000 Pr
0.854 0.854 0.000 Pr
0.500 0.500 0.000 Ho
0.000 0.500 0.500 Se
0.328 0.328 0.000 Se
0.672 0.672 0.000 Se
```

## Properties
Volume: 167 Å³/cell
Space group: Immm
Energy relative to the elements, uncorrected: -1542 meV per atom
DOS(E_F): 4.54 states/eV per cell
Energy relative to the lowest polymorph listed for this composition: 265.1 meV/atom


4.
Here is Pr3HoSe4 after structural relaxation from Alexandria. Energies are from PBE.

```
Pr3HoSe4
1.0
4.281 -5.966 0.000
4.281 5.966 0.000
0.000 0.000 4.150
Pr Ho Se
3 1 4
Direct
0.000 0.000 0.000 Pr
0.000 0.500 0.500 Pr
0.500 0.000 0.500 Pr
0.500 0.500 0.000 Ho
0.257 0.743 0.000 Se
0.264 0.264 0.500 Se
0.736 0.736 0.500 Se
0.743 0.257 0.000 Se
```

## Properties
Volume: 212 Å³/cell
Space group: Cmmm
Energy relative to the elements, uncorrected: -1809 meV per atom
DOS(E_F): 4.63 states/eV per cell
Energy relative to the lowest polymorph listed for this composition: 4.6 meV/atom


5.
Here is Pr2HoSe4 after structural relaxation from Alexandria. Energies are from PBE.

```
Pr2HoSe4
1.0
2.016 -7.035 0.000
2.016 7.035 0.000
0.000 0.000 14.160
Pr Ho Se
4 2 8
Direct
0.130 0.870 0.572 Pr
0.130 0.870 0.928 Pr
0.870 0.130 0.072 Pr
0.870 0.130 0.428 Pr
0.372 0.628 0.750 Ho
0.628 0.372 0.250 Ho
0.017 0.983 0.750 Se
0.218 0.782 0.127 Se
0.218 0.782 0.373 Se
0.500 0.500 0.000 Se
0.500 0.500 0.500 Se
0.782 0.218 0.627 Se
0.782 0.218 0.873 Se
0.983 0.017 0.250 Se
```

## Properties
Volume: 402 Å³/cell
Space group: Cmcm
Energy relative to the elements, uncorrected: -1809 meV per atom
DOS(E_F): 4.15 states/eV per cell
Energy relative to the lowest polymorph listed for this composition: 41.1 meV/atom


6.
Here is PrHo3Se4 after structural relaxation from Alexandria. Energies are from PBE.

```
PrHo3Se4
1.0
4.176 -5.815 0.000
4.176 5.815 0.000
0.000 0.000 4.044
Pr Ho Se
1 3 4
Direct
0.000 0.000 0.000 Pr
0.000 0.500 0.500 Ho
0.500 0.000 0.500 Ho
0.500 0.500 0.000 Ho
0.256 0.744 0.000 Se
0.263 0.263 0.500 Se
0.737 0.737 0.500 Se
0.744 0.256 0.000 Se
```

## Properties
Volume: 196 Å³/cell
Space group: Cmmm
Energy relative to the elements, uncorrected: -1745 meV per atom
DOS(E_F): 4.63 states/eV per cell
Energy relative to the lowest polymorph listed for this composition: 5.7 meV/atom